Entry 1:
YPaTcC3: relaxed, GGA-PBE.

Geometry as POSCAR:
```
YPaTcC3
1.0
7.267 0.000 0.000
0.000 3.604 0.000
-0.305 0.000 7.692
Y Pa Tc C
2 2 2 6
Cartesian
1.027 0.901 1.245
5.935 2.703 6.447
2.491 2.703 6.370
4.471 0.901 1.322
0.545 0.901 4.552
6.417 2.703 3.140
0.695 0.901 6.502
1.077 2.703 3.892
2.898 2.703 0.980
4.064 0.901 6.712
5.885 0.901 3.800
6.267 2.703 1.189
```

Computed properties:
Calculated formation energy: -0.0670 eV per atom
Space group: P2_1/m
Magnetization: 0.00 μB/cell
VASP energy: -108.80 eV for the cell shown

=====

Entry 2:
Rb: relaxed, GGA-PBE.

Geometry as POSCAR:
```
Rb
1.0
9.239 0.000 0.000
0.000 9.239 0.000
0.000 0.000 17.586
Rb
16
Cartesian
1.635 0.675 2.198
1.635 3.945 10.991
1.635 5.294 15.388
1.635 8.564 6.595
2.984 0.675 15.388
2.984 3.945 6.595
2.984 5.294 2.198
2.984 8.564 10.991
6.255 0.675 6.595
6.255 3.945 15.388
6.255 5.294 10.991
6.255 8.564 2.198
7.604 0.675 10.991
7.604 3.945 2.198
7.604 5.294 6.595
7.604 8.564 15.388
```

Computed properties:
Calculated formation energy: 0.0622 eV per atom
E above lowest polymorph: 62 meV/atom
Space group: I4_1/acd
Magnetization: 0.00 μB/cell
VASP energy: -14.49 eV for the cell shown

=====

Entry 3:
Sr3TaRh: relaxed, GGA-PBE.

Geometry as POSCAR:
```
Sr3TaRh
1.0
5.815 0.000 0.000
0.000 5.815 0.000
0.000 0.000 5.815
Sr Ta Rh
3 1 1
Cartesian
0.000 0.000 2.907
0.000 2.907 0.000
2.907 0.000 0.000
0.000 0.000 0.000
2.907 2.907 2.907
```

Computed properties:
Calculated formation energy: 1.5244 eV per atom
E above lowest polymorph: 715 meV/atom
Space group: Pm-3m
Magnetization: 2.71 μB/cell
VASP energy: -16.63 eV for the cell shown

=====

Entry 4:
CePr2ThS4: relaxed, GGA-PBE.

Geometry as POSCAR:
```
CePr2ThS4
1.0
7.031 0.000 0.000
0.000 4.065 0.000
-2.342 0.000 6.664
Ce Pr Th S
1 2 1 4
Cartesian
0.000 0.000 0.000
-1.171 2.033 3.332
2.345 0.000 3.332
3.516 2.033 0.000
1.169 2.033 1.629
-0.003 0.000 5.030
4.693 0.000 1.635
3.521 2.033 5.036
```

Computed properties:
Space group: P2/m
Formation energy without anion corrections: -1.9794 eV per atom
Magnetization: 0.74 μB/cell
VASP energy: -55.26 eV for the cell shown

=====

Please write out number 2 again, unchanged.
Rb: relaxed, GGA-PBE.

Geometry as POSCAR:
```
Rb
1.0
9.239 0.000 0.000
0.000 9.239 0.000
0.000 0.000 17.586
Rb
16
Cartesian
1.635 0.675 2.198
1.635 3.945 10.991
1.635 5.294 15.388
1.635 8.564 6.595
2.984 0.675 15.388
2.984 3.945 6.595
2.984 5.294 2.198
2.984 8.564 10.991
6.255 0.675 6.595
6.255 3.945 15.388
6.255 5.294 10.991
6.255 8.564 2.198
7.604 0.675 10.991
7.604 3.945 2.198
7.604 5.294 6.595
7.604 8.564 15.388
```

Computed properties:
Calculated formation energy: 0.0622 eV per atom
E above lowest polymorph: 62 meV/atom
Space group: I4_1/acd
Magnetization: 0.00 μB/cell
VASP energy: -14.49 eV for the cell shown

=====

Number 3 is which compound?
Sr3TaRh

=====

Which value of magnetization does entry 3 give?
2.71 μB/cell